A relaxed structure of Cr2NiP, computed with PBE.

```
data_Cr2NiP
_symmetry_space_group_name_H-M 'C m m m'
_symmetry_Int_Tables_number 65
_symmetry_space_group_name_Hall '-C 2 2'
_cell_length_a 4.652
_cell_length_b 7.266
_cell_length_c 2.654
_cell_angle_alpha 90.00
_cell_angle_beta 90.00
_cell_angle_gamma 90.00
loop_
_atom_site_label
_atom_site_fract_x
_atom_site_fract_y
_atom_site_fract_z
_atom_site_occupancy
Cr1 0.250 0.250 0.000 1
Ni1 0.000 0.000 0.500 1
P1 0.000 0.500 0.500 1
```

Results
* Fermi-level density of states: 9.4 states/eV per cell
* E_tot: -61.4 eV/cell
* energy of formation: -0.07 eV per atom